P.
The following is a DFT calculation (meta-GGA SCAN) of a crystal of CaNi2Br relaxed with PBEsol.

V in A^3/atom: 18.3
SG: No. 6
Crystal system: monoclinic

Unit cell a=3.3066 b=3.2852 c=6.9521 alpha=90.00 beta=104.12 gamma=90.00
Each line ends with the local moment (μB).
Atoms (fractional coordinates):
Br: 0.6881 0.0000 0.5111  0.00
Ca: 0.3200 0.5000 0.7686  -0.05
Ni: 0.9727 0.0000 0.0650  0.62
Ni: 0.5192 0.5000 0.1553  0.58

Q.
The following is a DFT calculation (meta-GGA SCAN) of a crystal of CaNi2Br relaxed with PBEsol.

V in A^3/atom: 18.9
SG: No. 123
Crystal system: tetragonal

Unit cell a=3.6993 b=3.6993 c=5.5101 alpha=90.00 beta=90.00 gamma=90.00
Each line ends with the local moment (μB).
Atoms (fractional coordinates):
Br: 0.5000 0.5000 0.0000  0.01
Ca: 0.5000 0.5000 0.5000  -0.05
Ni: 0.0000 0.0000 0.7072  0.62
Ni: 0.0000 0.0000 0.2928  0.62

Short version: P is the most stable of them.

P.
The following is a DFT calculation (meta-GGA SCAN) of a crystal of Ta2ZnBr relaxed with PBEsol.

V in A^3/atom: 17.2
SG: No. 119
Crystal system: tetragonal

Unit cell a=3.9560 b=3.9560 c=5.2015 alpha=112.35 beta=112.35 gamma=90.00
Atoms (fractional coordinates):
Br: 0.2500 0.7500 0.5000
Ta: 0.0000 0.0000 0.0000
Ta: 0.7500 0.2500 0.5000
Zn: 0.5000 0.5000 0.0000

Q.
The following is a DFT calculation (meta-GGA SCAN) of a crystal of Ta2ZnBr relaxed with PBEsol.

V in A^3/atom: 19.3
SG: No. 99
Crystal system: tetragonal

Unit cell a=3.3318 b=3.3318 c=6.9580 alpha=90.00 beta=90.00 gamma=90.00
Atoms (fractional coordinates):
Br: 0.5000 0.5000 0.7943
Ta: 0.0000 0.0000 0.0296
Ta: 0.5000 0.5000 0.2375
Zn: 0.0000 0.0000 0.4386

Short version: Q is the most stable of them.

P.
The following is a DFT calculation (meta-GGA SCAN) of a crystal of Hf2BrN relaxed with PBEsol.

V in A^3/atom: 20.0
SG: No. 122
Crystal system: tetragonal

Unit cell a=5.4555 b=5.4555 c=6.6114 alpha=114.37 beta=114.37 gamma=90.00
Atoms (fractional coordinates):
Hf: 0.4760 0.8750 0.2500
Hf: 0.7740 0.3750 0.2500
Hf: 0.1250 0.2260 0.7500
Hf: 0.6250 0.5240 0.7500
Br: 0.2500 0.7500 0.5000
Br: 0.0000 0.0000 0.0000
N: 0.7500 0.2500 0.5000
N: 0.5000 0.5000 0.0000

Q.
The following is a DFT calculation (meta-GGA SCAN) of a crystal of Hf2BrN relaxed with PBEsol.

V in A^3/atom: 14.6
SG: No. 225
Crystal system: cubic

Unit cell a=4.3543 b=4.3543 c=4.3543 alpha=60.00 beta=60.00 gamma=60.00
Atoms (fractional coordinates):
Hf: 0.2500 0.2500 0.2500
Hf: 0.7500 0.7500 0.7500
Br: 0.5000 0.5000 0.5000
N: 0.0000 0.0000 0.0000

Short version: P is the most stable of them.

P.
The following is a DFT calculation (meta-GGA SCAN) of a crystal of KHg2Au relaxed with PBEsol.

V in A^3/atom: 24.8
SG: No. 10
Crystal system: monoclinic

Unit cell a=3.2901 b=4.9742 c=6.0573 alpha=90.00 beta=90.27 gamma=90.00
Atoms (fractional coordinates):
K: 0.5000 0.5000 0.0000
Au: 0.0000 0.5000 0.5000
Hg: 0.9984 0.0000 0.7397
Hg: 0.0016 0.0000 0.2603

Q.
The following is a DFT calculation (meta-GGA SCAN) of a crystal of KHg2Au relaxed with PBEsol.

V in A^3/atom: 26.9
SG: No. 6
Crystal system: monoclinic

Unit cell a=4.2271 b=4.4494 c=6.1354 alpha=111.35 beta=90.00 gamma=90.00
Atoms (fractional coordinates):
K: 0.0000 0.4758 0.5770
Au: 0.5000 0.0383 0.7015
Hg: 0.0000 0.2015 0.0269
Hg: 0.5000 0.7844 0.1945

Short version: P is the most stable of them.

P.
The following is a DFT calculation (meta-GGA SCAN) of a crystal of VPO5 relaxed with PBEsol.

V in A^3/atom: 11.4
SG: No. 85
Crystal system: tetragonal

Unit cell a=4.3716 b=6.0496 c=6.0496 alpha=90.00 beta=90.00 gamma=90.00
Atoms (fractional coordinates):
V: 0.2109 0.0000 0.5000
V: 0.7891 0.5000 0.0000
P: 0.5000 0.5000 0.5000
P: 0.5000 0.0000 0.0000
O: 0.7050 0.4555 0.2988
O: 0.2950 0.7012 0.4555
O: 0.8476 0.0000 0.5000
O: 0.2950 0.2988 0.5445
O: 0.7050 0.5445 0.7012
O: 0.2950 0.9555 0.7988
O: 0.7050 0.2012 0.9555
O: 0.1524 0.5000 0.0000
O: 0.7050 0.7988 0.0445
O: 0.2950 0.0445 0.2012

Q.
The following is a DFT calculation (meta-GGA SCAN) of a crystal of VPO5 relaxed with PBEsol.

V in A^3/atom: 13.0
SG: No. 135
Crystal system: tetragonal

Unit cell a=8.6554 b=9.1620 c=9.1620 alpha=90.00 beta=90.00 gamma=90.00
Atoms (fractional coordinates):
V: 0.0000 0.5897 0.2507
V: 0.0000 0.9103 0.7507
V: 0.5000 0.7493 0.5897
V: 0.5000 0.2493 0.9103
V: 0.0000 0.4103 0.7493
V: 0.0000 0.0897 0.2493
V: 0.5000 0.7507 0.0897
V: 0.5000 0.2507 0.4103
P: 0.7500 0.0000 0.0000
P: 0.2500 0.5000 0.0000
P: 0.2500 0.0000 0.5000
P: 0.7500 0.0000 0.5000
P: 0.2500 0.0000 0.0000
P: 0.2500 0.5000 0.5000
P: 0.7500 0.5000 0.5000
P: 0.7500 0.5000 0.0000
O: 0.0000 0.2485 0.8080
O: 0.5000 0.8080 0.7515
O: 0.1493 0.0942 0.1011
O: 0.8507 0.5942 0.3989
O: 0.1493 0.4058 0.6011
O: 0.5000 0.1920 0.2485
O: 0.3507 0.8989 0.0942
O: 0.3513 0.3626 0.0042
O: 0.8513 0.0042 0.6374
O: 0.3507 0.1011 0.9058
O: 0.0000 0.2515 0.3080
O: 0.6493 0.1011 0.9058
O: 0.3513 0.6374 0.9958
O: 0.3507 0.6011 0.5942
O: 0.3507 0.3989 0.4058
O: 0.5000 0.3080 0.7485
O: 0.5000 0.6920 0.2515
O: 0.6487 0.3626 0.0042
O: 0.8513 0.4958 0.1374
O: 0.6487 0.6374 0.9958
O: 0.6487 0.8626 0.4958
O: 0.6493 0.3989 0.4058
O: 0.8507 0.9058 0.8989
O: 0.3513 0.1374 0.5042
O: 0.3513 0.8626 0.4958
O: 0.1493 0.9058 0.8989
O: 0.1487 0.0042 0.6374
O: 0.8507 0.0942 0.1011
O: 0.8507 0.4058 0.6011
O: 0.1487 0.5042 0.8626
O: 0.0000 0.7485 0.6920
O: 0.1487 0.4958 0.1374
O: 0.6493 0.8989 0.0942
O: 0.6493 0.6011 0.5942
O: 0.8513 0.9958 0.3626
O: 0.1487 0.9958 0.3626
O: 0.8513 0.5042 0.8626
O: 0.6487 0.1374 0.5042
O: 0.0000 0.7515 0.1920
O: 0.1493 0.5942 0.3989

Short version: P is the most stable of them.

P.
The following is a DFT calculation (meta-GGA SCAN) of a crystal of K2TeSe relaxed with PBEsol.

V in A^3/atom: 31.2
SG: No. 8
Crystal system: monoclinic

Unit cell a=3.8009 b=5.6225 c=6.5368 alpha=110.21 beta=106.90 gamma=90.00
Atoms (fractional coordinates):
K: 0.0171 0.0542 0.0342
K: 0.2205 0.6732 0.4411
Se: 0.4771 0.5446 0.9542
Te: 0.7852 0.2280 0.5705

Q.
The following is a DFT calculation (meta-GGA SCAN) of a crystal of K2TeSe relaxed with PBEsol.

V in A^3/atom: 31.7
SG: No. 166
Crystal system: trigonal

Unit cell a=3.8001 b=3.8001 c=10.3733 alpha=79.45 beta=79.45 gamma=60.00
Each line ends with the local moment (μB).
Atoms (fractional coordinates):
K: 0.2420 0.2420 0.2740  0.00
K: 0.7580 0.7580 0.7260  0.00
Se: 0.5000 0.5000 0.5000  0.52
Te: 0.0000 0.0000 0.0000  -0.14

Short version: P is the most stable of them.

P.
The following is a DFT calculation (meta-GGA SCAN) of a crystal of Ca2AlGa2 relaxed with PBEsol.

V in A^3/atom: 25.2
SG: No. 139
Crystal system: tetragonal

Unit cell a=4.5502 b=4.5502 c=6.8941 alpha=109.27 beta=109.27 gamma=90.00
Atoms (fractional coordinates):
Ca: 0.2500 0.7500 0.5000
Ca: 0.7500 0.2500 0.5000
Al: 0.0000 0.0000 0.0000
Ga: 0.4060 0.4060 0.8120
Ga: 0.5940 0.5940 0.1880

Q.
The following is a DFT calculation (meta-GGA SCAN) of a crystal of Ca2AlGa2 relaxed with PBEsol.

V in A^3/atom: 22.7
SG: No. 127
Crystal system: tetragonal

Unit cell a=4.7121 b=6.9360 c=6.9360 alpha=90.00 beta=90.00 gamma=90.00
Atoms (fractional coordinates):
Ca: 0.5000 0.1750 0.6750
Ca: 0.5000 0.6750 0.8250
Ca: 0.5000 0.8250 0.3250
Ca: 0.5000 0.3250 0.1750
Al: 0.0000 0.0000 0.0000
Al: 0.0000 0.5000 0.5000
Ga: 0.0000 0.3698 0.8698
Ga: 0.0000 0.8698 0.6302
Ga: 0.0000 0.6302 0.1302
Ga: 0.0000 0.1302 0.3698

Short version: Q is the most stable of them.

P.
The following is a DFT calculation (meta-GGA SCAN) of a crystal of CdAg2Hg relaxed with PBEsol.

V in A^3/atom: 18.3
SG: No. 10
Crystal system: monoclinic

Unit cell a=2.9776 b=4.1006 c=6.0081 alpha=90.00 beta=92.54 gamma=90.00
Atoms (fractional coordinates):
Hg: 0.5000 0.5000 0.5000
Ag: 0.9940 0.0000 0.7548
Ag: 0.0060 0.0000 0.2452
Cd: 0.5000 0.5000 0.0000

Q.
The following is a DFT calculation (meta-GGA SCAN) of a crystal of CdAg2Hg relaxed with PBEsol.

V in A^3/atom: 18.4
SG: No. 216
Crystal system: cubic

Unit cell a=4.7019 b=4.7019 c=4.7019 alpha=60.00 beta=60.00 gamma=60.00
Atoms (fractional coordinates):
Hg: 0.7500 0.7500 0.7500
Ag: 0.0000 0.0000 0.0000
Ag: 0.2500 0.2500 0.2500
Cd: 0.5000 0.5000 0.5000

Short version: P is the most stable of them.

P.
The following is a DFT calculation (meta-GGA SCAN) of a crystal of CrAg2W relaxed with PBEsol.

V in A^3/atom: 15.0
SG: No. 8
Crystal system: monoclinic

Unit cell a=2.6146 b=4.6752 c=5.1278 alpha=95.72 beta=90.00 gamma=106.24
Atoms (fractional coordinates):
Ag: 0.9988 0.9977 0.9929
Ag: 0.2482 0.4965 0.7546
Cr: 0.5048 0.0096 0.4854
W: 0.7481 0.4962 0.2671

Q.
The following is a DFT calculation (meta-GGA SCAN) of a crystal of CrAg2W relaxed with PBEsol.

V in A^3/atom: 15.2
SG: No. 10
Crystal system: monoclinic

Unit cell a=2.8492 b=4.4617 c=4.9359 alpha=104.86 beta=90.00 gamma=90.00
Each line ends with the local moment (μB).
Atoms (fractional coordinates):
Ag: 0.0000 0.0000 0.0000  0.00
Ag: 0.5000 0.5000 0.0000  -0.03
Cr: 0.5000 0.0000 0.5000  2.82
W: 0.0000 0.5000 0.5000  -0.84

Short version: Q is the most stable of them.

P.
The following is a DFT calculation (meta-GGA SCAN) of a crystal of NiAg2Ir relaxed with PBEsol.

V in A^3/atom: 14.4
SG: No. 139
Crystal system: tetragonal

Unit cell a=3.7646 b=3.7646 c=4.8624 alpha=112.77 beta=112.77 gamma=90.00
Each line ends with the local moment (μB).
Atoms (fractional coordinates):
Ag: 0.7500 0.2500 0.5000  0.03
Ag: 0.2500 0.7500 0.5000  0.03
Ir: 0.5000 0.5000 0.0000  0.80
Ni: 0.0000 0.0000 0.0000  0.83

Q.
The following is a DFT calculation (meta-GGA SCAN) of a crystal of NiAg2Ir relaxed with PBEsol.

V in A^3/atom: 14.4
SG: No. 123
Crystal system: tetragonal

Unit cell a=3.7525 b=3.7525 c=4.0904 alpha=90.00 beta=90.00 gamma=90.00
Each line ends with the local moment (μB).
Atoms (fractional coordinates):
Ag: 0.0000 0.5000 0.0000  0.04
Ag: 0.5000 0.0000 0.0000  0.04
Ir: 0.5000 0.5000 0.5000  0.66
Ni: 0.0000 0.0000 0.5000  0.96

Short version: Q is the most stable of them.

P.
The following is a DFT calculation (meta-GGA SCAN) of a crystal of KSr3 relaxed with PBEsol.

V in A^3/atom: 54.9
SG: No. 12
Crystal system: monoclinic

Unit cell a=4.1952 b=7.3834 c=7.4789 alpha=98.35 beta=90.00 gamma=106.50
Atoms (fractional coordinates):
Sr: 0.5000 0.0000 0.5000
Sr: 0.2482 0.4964 0.7426
Sr: 0.7518 0.5036 0.2574
K: 0.0000 0.0000 0.0000

Q.
The following is a DFT calculation (meta-GGA SCAN) of a crystal of KSr3 relaxed with PBEsol.

V in A^3/atom: 55.0
SG: No. 166
Crystal system: trigonal

Unit cell a=4.1217 b=7.9713 c=7.9713 alpha=117.09 beta=99.92 gamma=99.92
Atoms (fractional coordinates):
Sr: 0.5000 0.0000 0.5000
Sr: 0.5000 0.5000 0.0000
Sr: 0.0000 0.5000 0.5000
K: 0.0000 0.0000 0.0000

Short version: P is the most stable of them.

P.
The following is a DFT calculation (meta-GGA SCAN) of a crystal of Tl2As relaxed with PBEsol.

V in A^3/atom: 26.2
SG: No. 139
Crystal system: tetragonal

Unit cell a=3.3713 b=3.3713 c=7.3112 alpha=103.33 beta=103.33 gamma=90.00
Atoms (fractional coordinates):
Tl: 0.8519 0.8519 0.7037
Tl: 0.1481 0.1481 0.2963
As: 0.5000 0.5000 0.0000

Q.
The following is a DFT calculation (meta-GGA SCAN) of a crystal of Tl2As relaxed with PBEsol.

V in A^3/atom: 26.9
SG: No. 8
Crystal system: monoclinic

Unit cell a=3.5014 b=6.1386 c=8.1690 alpha=105.65 beta=90.00 gamma=106.57
Atoms (fractional coordinates):
Tl: 0.4056 0.8112 0.7300
Tl: 0.3569 0.7137 0.3130
Tl: 0.1109 0.2217 0.5572
Tl: 0.7037 0.4075 0.9284
As: 0.9757 0.9514 0.0734
As: 0.6139 0.2278 0.2314

Short version: Q is the most stable of them.

P.
The following is a DFT calculation (meta-GGA SCAN) of a crystal of SrLiCl2 relaxed with PBEsol.

V in A^3/atom: 21.0
SG: No. 47
Crystal system: orthorhombic

Unit cell a=3.7008 b=4.7207 c=4.8167 alpha=90.00 beta=90.00 gamma=90.00
Atoms (fractional coordinates):
Cl: 0.0000 0.0000 0.0000
Cl: 0.0000 0.5000 0.5000
Li: 0.5000 0.5000 0.0000
Sr: 0.5000 0.0000 0.5000

Q.
The following is a DFT calculation (meta-GGA SCAN) of a crystal of SrLiCl2 relaxed with PBEsol.

V in A^3/atom: 22.0
SG: No. 71
Crystal system: orthorhombic

Unit cell a=3.7602 b=5.3108 c=5.3108 alpha=66.38 beta=69.27 gamma=69.27
Each line ends with the local moment (μB).
Atoms (fractional coordinates):
Cl: 0.1987 0.8013 0.8013  0.02
Cl: 0.8013 0.1987 0.1987  0.02
Li: 0.5000 0.0000 0.0000  0.04
Sr: 0.0000 0.5000 0.5000  0.22

Short version: Q is the most stable of them.